[1]
A relaxed YTa2Nb crystal. Source: OQMD, functional PBE.

For the formation energy, the calculation gives 0.381 eV/atom. As for the crystal system: cubic.

The structure belongs to space group F-43m (No. 216); the cell edges are 6.8749, 6.8749 and 6.8749 Å and the angles 90.00°, 90.00° and 90.00°. The inequivalent atoms are Y at (0.0000, 0.0000, 0.0000), Ta at (0.0000, 0.0000, 0.5000), Ta at (0.2500, 0.2500, 0.2500) and Nb at (0.2500, 0.2500, 0.7500).

=====

[2]
A relaxed ZrSc2Ge crystal. Source: OQMD, functional PBE.

As for the crystal system: cubic. For the final energy, the calculation gives -6.65 eV/atom.

The structure belongs to space group F-43m (No. 216); the cell edges are 6.8532, 6.8532 and 6.8532 Å and the angles 90.00°, 90.00° and 90.00°. The inequivalent atoms are Zr at (0.0000, 0.0000, 0.0000), Sc at (0.0000, 0.0000, 0.5000), Sc at (0.2500, 0.2500, 0.2500) and Ge at (0.2500, 0.2500, 0.7500).

=====

[3]
A relaxed KEr2 crystal. Source: OQMD, functional PBE.

The value obtained for the energy above the most stable polymorph in this dataset is 0.0 meV per atom. As for the crystal system: cubic.

The structure belongs to space group Fd-3m (No. 227, origin choice 2); the cell edges are 9.9033, 9.9033 and 9.9033 Å and the angles 90.00°, 90.00° and 90.00°. The inequivalent atoms are K at (0.1250, 0.1250, 0.1250) and Er at (0.0000, 0.0000, 0.5000).

=====

[4]
A relaxed CsIrPbSe3 crystal. Source: OQMD, functional PBE.

As for the crystal system: orthorhombic. For the final energy, the calculation gives -4.42 eV/atom.

The structure belongs to space group Cmcm (No. 63); the cell edges are 4.4309, 14.4069 and 12.0854 Å and the angles 90.00°, 90.00° and 90.00°. The inequivalent atoms are Cs at (0.0000, 0.2078, 0.2500), Ir at (0.0000, 0.0784, 0.7500), Pb at (0.0000, 0.5000, 0.0000), Se at (0.0000, 0.1340, 0.5601) and Se at (0.0000, 0.4890, 0.2500).

=====

[5]
A relaxed YUNi crystal. Source: OQMD, functional PBE.

For the formation energy, the calculation gives 0.420 eV/atom. The value obtained for the energy above the most stable polymorph in this dataset is 0.0 meV per atom. As for the crystal system: cubic.

The structure belongs to space group F-43m (No. 216); the cell edges are 6.4926, 6.4926 and 6.4926 Å and the angles 90.00°, 90.00° and 90.00°. The inequivalent atoms are Y at (0.0000, 0.0000, 0.0000), U at (0.0000, 0.0000, 0.5000) and Ni at (0.2500, 0.2500, 0.2500).

=====

[6]
A relaxed BePtSeO crystal. Source: OQMD, functional PBE.

The value obtained for the energy above the most stable polymorph in this dataset is 0.0 meV per atom. As for the crystal system: orthorhombic.

The structure belongs to space group Pbcm (No. 57); the cell edges are 6.5425, 7.1870 and 5.9029 Å and the angles 90.00°, 90.00° and 90.00°. The inequivalent atoms are Be at (0.0258, 0.2500, 0.0000), Pt at (0.3683, 0.0034, 0.2500), Se at (0.4922, 0.7500, 0.0000) and O at (0.0163, 0.2425, 0.7500).

=====

[7]
A relaxed CsP2PdO7 crystal. Source: OQMD, functional PBE.

As for the crystal system: monoclinic. For the final energy, the calculation gives -6.43 eV/atom.

The structure belongs to space group C2 (No. 5); the cell edges are 7.2649, 8.6174 and 5.6200 Å and the angles 90.00°, 92.59° and 90.00°. The inequivalent atoms are Cs at (0.0000, 0.0000, 0.0000), P at (0.1954, 0.2965, 0.5834), Pd at (0.0000, 0.6238, 0.5000), O at (0.0000, 0.2161, 0.5000), O at (0.1536, 0.4598, 0.6758), O at (0.1804, 0.7931, 0.6334) and O at (0.2162, 0.6956, 0.2213).

=====

[8]
A relaxed SnTePtO crystal. Source: OQMD, functional PBE.

The value obtained for the energy above the most stable polymorph in this dataset is 186.8 meV per atom. As for the crystal system: orthorhombic.

The structure belongs to space group P2_12_12_1 (No. 19); the cell edges are 4.7754, 7.0746 and 9.9965 Å and the angles 90.00°, 90.00° and 90.00°. The inequivalent atoms are Sn at (0.2020, 0.1600, 0.1405), Te at (0.1555, 0.6449, 0.0459), Pt at (0.2235, 0.1896, 0.7629) and O at (0.0115, 0.1274, 0.9463).

=====

[9]
A relaxed Hf2FeIr crystal. Source: OQMD, functional PBE.

For the formation energy, the calculation gives -0.645 eV/atom. The value obtained for the energy above the most stable polymorph in this dataset is 20.0 meV per atom. As for the crystal system: tetragonal.

The structure belongs to space group P4/mmm (No. 123); the cell edges are 4.5104, 4.5104 and 3.2827 Å and the angles 90.00°, 90.00° and 90.00°. The inequivalent atoms are Hf at (0.0000, 0.5000, 0.0000), Fe at (0.0000, 0.0000, 0.5000) and Ir at (0.5000, 0.5000, 0.5000).

=====

[10]
A relaxed DyHo2Ga3AgPd2 crystal. Source: OQMD, functional PBE.

As for the crystal system: orthorhombic. For the final energy, the calculation gives -4.75 eV/atom.

The structure belongs to space group Amm2 (No. 38); the cell edges are 3.6960, 13.0597 and 7.5330 Å and the angles 90.00°, 90.00° and 90.00°. The inequivalent atoms are Dy at (0.0000, 0.0000, 0.0000), Ho at (0.0000, 0.2037, 0.6111), Ga at (0.5000, 0.0000, 0.6781), Ga at (0.5000, 0.1356, 0.2722), Ag at (0.0000, 0.0000, 0.4079) and Pd at (0.5000, 0.1672, 0.9072).

=====

[11]
A relaxed Er2In4PdAu crystal. Source: OQMD, functional PBE.

As for the crystal system: orthorhombic. For the final energy, the calculation gives -4.13 eV/atom.

The structure belongs to space group Amm2 (No. 38); the cell edges are 7.3003, 4.5970 and 10.6797 Å and the angles 90.00°, 90.00° and 90.00°. The inequivalent atoms are Er at (0.0000, 0.0000, 0.0000), Er at (0.5000, 0.0000, 0.1561), In at (0.2092, 0.0000, 0.7145), In at (0.2998, 0.0000, 0.4483), Pd at (0.5000, 0.0000, 0.8787) and Au at (0.0000, 0.0000, 0.2827).

=====

[12]
A relaxed LuFe2Ir crystal. Source: OQMD, functional PBE.

For the formation energy, the calculation gives -0.123 eV/atom. As for the crystal system: cubic.

The structure belongs to space group F-43m (No. 216); the cell edges are 6.2660, 6.2660 and 6.2660 Å and the angles 90.00°, 90.00° and 90.00°. The inequivalent atoms are Lu at (0.0000, 0.0000, 0.0000), Fe at (0.0000, 0.0000, 0.5000), Fe at (0.2500, 0.2500, 0.2500) and Ir at (0.2500, 0.2500, 0.7500).

=====

[13]
A relaxed CoBPt2 crystal. Source: OQMD, functional PBE.

As for the crystal system: cubic. For the final energy, the calculation gives -5.87 eV/atom.

The structure belongs to space group F-43m (No. 216); the cell edges are 5.8930, 5.8930 and 5.8930 Å and the angles 90.00°, 90.00° and 90.00°. The inequivalent atoms are Co at (0.0000, 0.0000, 0.0000), B at (0.2500, 0.2500, 0.7500), Pt at (0.0000, 0.0000, 0.5000) and Pt at (0.2500, 0.2500, 0.2500).

=====

[14]
A relaxed BeNi2Sn crystal. Source: OQMD, functional PBE.

As for the crystal system: cubic. For the final energy, the calculation gives -4.72 eV/atom.

The structure belongs to space group F-43m (No. 216); the cell edges are 5.8615, 5.8615 and 5.8615 Å and the angles 90.00°, 90.00° and 90.00°. The inequivalent atoms are Be at (0.0000, 0.0000, 0.0000), Ni at (0.0000, 0.0000, 0.5000), Ni at (0.2500, 0.2500, 0.2500) and Sn at (0.2500, 0.2500, 0.7500).

=====

[15]
A relaxed NaHfInPt crystal. Source: OQMD, functional PBE.

The value obtained for the energy above the most stable polymorph in this dataset is 0.0 meV per atom. As for the crystal system: cubic.

The structure belongs to space group F-43m (No. 216); the cell edges are 6.6655, 6.6655 and 6.6655 Å and the angles 90.00°, 90.00° and 90.00°. The inequivalent atoms are Na at (0.0000, 0.0000, 0.0000), Hf at (0.2500, 0.2500, 0.2500), In at (0.2500, 0.2500, 0.7500) and Pt at (0.0000, 0.0000, 0.5000).

=====

[16]
A relaxed InCuTeWSe2 crystal. Source: OQMD, functional PBE.

As for the crystal system: orthorhombic. For the final energy, the calculation gives -4.96 eV/atom.

The structure belongs to space group Cmcm (No. 63); the cell edges are 3.5589, 15.3597 and 10.1626 Å and the angles 90.00°, 90.00° and 90.00°. The inequivalent atoms are In at (0.0000, 0.2318, 0.2500), Cu at (0.0000, 0.4546, 0.7500), Te at (0.0000, 0.0805, 0.7500), W at (0.0000, 0.0000, 0.0000) and Se at (0.0000, 0.3798, 0.5438).

=====

[17]
A relaxed TcBiPt crystal. Source: OQMD, functional PBE.

As for the crystal system: cubic. For the final energy, the calculation gives -6.42 eV/atom.

The structure belongs to space group F-43m (No. 216); the cell edges are 6.3434, 6.3434 and 6.3434 Å and the angles 90.00°, 90.00° and 90.00°. The inequivalent atoms are Tc at (0.0000, 0.0000, 0.0000), Bi at (0.2500, 0.2500, 0.7500) and Pt at (0.2500, 0.2500, 0.2500).

=====

[18]
A relaxed CdHg2Ir crystal. Source: OQMD, functional PBE.

For the formation energy, the calculation gives 0.414 eV/atom. As for the crystal system: cubic.

The structure belongs to space group F-43m (No. 216); the cell edges are 6.7616, 6.7616 and 6.7616 Å and the angles 90.00°, 90.00° and 90.00°. The inequivalent atoms are Cd at (0.0000, 0.0000, 0.0000), Hg at (0.0000, 0.0000, 0.5000), Hg at (0.2500, 0.2500, 0.7500) and Ir at (0.2500, 0.2500, 0.2500).

=====

[19]
A relaxed TbGdB2Ir2C2 crystal. Source: OQMD, functional PBE.

As for the crystal system: tetragonal. For the final energy, the calculation gives -7.83 eV/atom.

The structure belongs to space group P4mm (No. 99); the cell edges are 3.7497, 3.7497 and 7.8068 Å and the angles 90.00°, 90.00° and 90.00°. The inequivalent atoms are Tb at (0.0000, 0.0000, 0.0000), Gd at (0.5000, 0.5000, 0.3249), B at (0.0000, 0.0000, 0.5038), B at (0.5000, 0.5000, 0.8202), Ir at (0.0000, 0.5000, 0.6624), C at (0.0000, 0.0000, 0.3097) and C at (0.5000, 0.5000, 0.0140).

=====

[20]
A relaxed NaTa3As5 crystal. Source: OQMD, functional PBE.

As for the crystal system: hexagonal. For the final energy, the calculation gives -6.89 eV/atom.

The structure belongs to space group P6/mmm (No. 191); the cell edges are 5.6593, 5.6593 and 7.6839 Å and the angles 90.00°, 90.00° and 120.00°. The inequivalent atoms are Na at (0.0000, 0.0000, 0.0000), Ta at (0.0000, 0.5000, 0.5000), As at (0.0000, 0.0000, 0.5000) and As at (0.3333, 0.6667, 0.2250).

=====

[21]
A relaxed LaPmY crystal. Source: OQMD, functional PBE.

For the formation energy, the calculation gives 0.699 eV/atom. The value obtained for the energy above the most stable polymorph in this dataset is 0.0 meV per atom. As for the crystal system: cubic.

The structure belongs to space group F-43m (No. 216); the cell edges are 7.8429, 7.8429 and 7.8429 Å and the angles 90.00°, 90.00° and 90.00°. The inequivalent atoms are La at (0.0000, 0.0000, 0.0000), Pm at (0.2500, 0.2500, 0.2500) and Y at (0.0000, 0.0000, 0.5000).

=====

[22]
A relaxed Na5Sb2Pt crystal. Source: OQMD, functional PBE.

As for the crystal system: trigonal. For the final energy, the calculation gives -3.02 eV/atom.

The structure belongs to space group R-3m (No. 166, hexagonal axes); the cell edges are 5.2213, 5.2213 and 26.6387 Å and the angles 90.00°, 90.00° and 120.00°. The inequivalent atoms are Na at (0.0000, 0.0000, 0.0000), Na at (0.0000, 0.0000, 0.1360), Na at (0.0000, 0.0000, 0.2807), Sb at (0.0000, 0.0000, 0.4040) and Pt at (0.0000, 0.0000, 0.5000).

=====

[23]
A relaxed ScGeOs crystal. Source: OQMD, functional PBE.

As for the crystal system: hexagonal. For the final energy, the calculation gives -7.55 eV/atom.

The structure belongs to space group P-62m (No. 189); the cell edges are 7.3064, 7.3064 and 3.0747 Å and the angles 90.00°, 90.00° and 120.00°. The inequivalent atoms are Sc at (0.0000, 0.2841, 0.0000), Ge at (0.0000, 0.0000, 0.5000), Ge at (0.3333, 0.6667, 0.0000) and Os at (0.0000, 0.6083, 0.5000).

=====

[24]
A relaxed YCoW2 crystal. Source: OQMD, functional PBE.

For the formation energy, the calculation gives 0.388 eV/atom. As for the crystal system: cubic.

The structure belongs to space group F-43m (No. 216); the cell edges are 6.4566, 6.4566 and 6.4566 Å and the angles 90.00°, 90.00° and 90.00°. The inequivalent atoms are Y at (0.0000, 0.0000, 0.0000), Co at (0.2500, 0.2500, 0.7500), W at (0.0000, 0.0000, 0.5000) and W at (0.2500, 0.2500, 0.2500).

=====

[25]
A relaxed ScSiMo crystal. Source: OQMD, functional PBE.

As for the crystal system: cubic. For the final energy, the calculation gives -6.64 eV/atom.

The structure belongs to space group F-43m (No. 216); the cell edges are 6.2683, 6.2683 and 6.2683 Å and the angles 90.00°, 90.00° and 90.00°. The inequivalent atoms are Sc at (0.0000, 0.0000, 0.0000), Si at (0.2500, 0.2500, 0.2500) and Mo at (0.2500, 0.2500, 0.7500).